Entry from the Alexandria database: a relaxed Na3MgBi2 crystal (GGA-PBE).

Computed properties:
Formation enthalpy at 0 K ... -0.309 eV per atom

Lattice parameters (Å, degrees): 6.666 6.587 9.615 110.03 110.28 90.00
Atoms (fractional coordinates):
Na1 0.453 0.680 0.360
Na2 0.547 0.320 0.640
Na3 0.093 0.820 0.640
Na4 0.907 0.180 0.360
Na5 0.500 0.750 0.000
Na6 0.500 0.250 0.000
Mg1 0.000 0.250 0.000
Mg2 0.000 0.750 0.000
Bi1 0.341 0.123 0.247
Bi2 0.659 0.877 0.753
Bi3 0.094 0.377 0.753
Bi4 0.906 0.623 0.247

***

Entry from the Alexandria database: a relaxed MgIrRu2 crystal (GGA-PBE).

Computed properties:
Formation enthalpy at 0 K ... 0.123 eV per atom

Lattice parameters (Å, degrees): 5.167 5.167 5.167 146.92 128.39 62.68
Atoms (fractional coordinates):
Ir1 0.499 0.499 0.000
Mg1 0.249 0.749 0.500
Ru1 0.999 0.999 0.000
Ru2 0.753 0.253 0.500

***

Entry from the Alexandria database: a relaxed ZnCd8Ag2 crystal (GGA-PBE).

Computed properties:
Formation enthalpy at 0 K ... 0.044 eV per atom
E above lowest polymorph ... 30 meV per atom

Lattice parameters (Å, degrees): 5.320 7.274 7.597 61.40 79.96 68.65
Atoms (fractional coordinates):
Zn1 0.500 0.000 0.000
Cd1 0.824 0.099 0.225
Cd2 0.824 0.323 0.775
Cd3 0.284 0.397 0.000
Cd4 0.500 0.783 0.435
Cd5 0.500 0.217 0.565
Cd6 0.716 0.603 0.000
Cd7 0.176 0.677 0.225
Cd8 0.176 0.901 0.775
Ag1 0.000 0.301 0.399
Ag2 0.000 0.699 0.601

***

Entry from the Alexandria database: a relaxed B13C2 crystal (GGA-PBE).

Computed properties:
Formation enthalpy at 0 K ... 0.462 eV per atom
E above lowest polymorph ... 538 meV per atom

Lattice parameters (Å, degrees): 4.169 5.012 5.583 115.85 91.30 80.52
Atoms (fractional coordinates):
C1 0.602 0.786 0.664
C2 0.398 0.214 0.336
B1 0.079 0.815 0.375
B2 0.921 0.185 0.625
B3 0.000 0.000 0.000
B4 0.251 0.008 0.732
B5 0.749 0.992 0.268
B6 0.937 0.563 0.675
B7 0.063 0.437 0.325
B8 0.685 0.668 0.340
B9 0.315 0.332 0.660
B10 0.312 0.715 0.837
B11 0.688 0.285 0.163
B12 0.627 0.154 0.821
B13 0.373 0.846 0.179

***

Q: The lowest formation enthalpy at 0 K belongs to which entry?
A: Na3MgBi2

***

Q: What is the formula in the second record?
A: MgIrRu2

***

Q: Which of these has the lowest formation enthalpy at 0 K?
A: Na3MgBi2

***

Copy entry 3 word for word.
Entry from the Alexandria database: a relaxed ZnCd8Ag2 crystal (GGA-PBE).

Computed properties:
Formation enthalpy at 0 K ... 0.044 eV per atom
E above lowest polymorph ... 30 meV per atom

Lattice parameters (Å, degrees): 5.320 7.274 7.597 61.40 79.96 68.65
Atoms (fractional coordinates):
Zn1 0.500 0.000 0.000
Cd1 0.824 0.099 0.225
Cd2 0.824 0.323 0.775
Cd3 0.284 0.397 0.000
Cd4 0.500 0.783 0.435
Cd5 0.500 0.217 0.565
Cd6 0.716 0.603 0.000
Cd7 0.176 0.677 0.225
Cd8 0.176 0.901 0.775
Ag1 0.000 0.301 0.399
Ag2 0.000 0.699 0.601